[1]
A plane-wave DFT calculation with PBE-GGA was carried out for a relaxed YHoAgBi crystal.

For the density of states at the Fermi level, the calculation gives 0.967 states/eV/atom. The magnetization is 0.808 μB/f.u. The total energy is -4.86 eV/atom. As for the formation enthalpy at 0 K: -0.418 eV per atom.

The structure belongs to space group F-43m (No. 216); the cell edges are 7.494, 7.494 and 7.494 Å and the angles 90.00°, 90.00° and 90.00°. The distinct sites, in fractional coordinates, are Y at (0.000, 0.000, 0.000), Ho at (0.000, 0.000, 0.500), Ag at (0.250, 0.250, 0.250) and Bi at (0.250, 0.250, 0.750).

[2]
A plane-wave DFT calculation with PBE-GGA was carried out for a relaxed B4N3 crystal.

For the density of states at the Fermi level, the calculation gives 0.262 states/eV/atom. The magnetization is 0.718 μB/f.u. The calculation puts the formation energy without anion corrections at 0.3313 eV per atom. The total energy is -7.05 eV/atom.

The structure belongs to space group Pm-3n (No. 223); the cell edges are 4.562, 4.562 and 4.562 Å and the angles 90.00°, 90.00° and 90.00°. The distinct sites, in fractional coordinates, are B at (0.000, 0.000, 0.000), B at (0.000, 0.250, 0.500) and N at (0.000, 0.500, 0.250).

[3]
A plane-wave DFT calculation with PBE-GGA was carried out for a relaxed Ca2SnIrAu crystal.

For the density of states at the Fermi level, the calculation gives 0.825 states/eV/atom. The magnetization is 0.000 μB/f.u. The total energy is -4.04 eV/atom. As for the formation enthalpy at 0 K: -0.011 eV per atom.

The structure belongs to space group P4/mmm (No. 123); the cell edges are 5.307, 5.307 and 5.175 Å and the angles 90.00°, 90.00° and 90.00°. The distinct sites, in fractional coordinates, are Ca at (0.000, 0.500, 0.000), Sn at (0.000, 0.000, 0.500), Ir at (0.500, 0.500, 0.000) and Au at (0.500, 0.500, 0.500).

[4]
A plane-wave DFT calculation with PBE-GGA was carried out for a relaxed Hf3NiRu crystal.

For the density of states at the Fermi level, the calculation gives 1.612 states/eV/atom. The magnetization is 0.000 μB/f.u. The value obtained for the offset from the most stable computed form is 0.178 eV/atom. The total energy is -8.37 eV/atom. As for the formation enthalpy at 0 K: 0.612 eV per atom.

The structure belongs to space group Pm-3m (No. 221); the cell edges are 4.913, 4.913 and 4.913 Å and the angles 90.00°, 90.00° and 90.00°. The distinct sites, in fractional coordinates, are Hf at (0.000, 0.000, 0.500), Ni at (0.500, 0.500, 0.500) and Ru at (0.000, 0.000, 0.000).

[5]
A plane-wave DFT calculation with PBE-GGA was carried out for a relaxed InTc2Ge crystal.

For the density of states at the Fermi level, the calculation gives 1.263 states/eV/atom. The magnetization is 0.000 μB/f.u. The value obtained for the offset from the most stable computed form is 0.000 eV/atom. The total energy is -6.75 eV/atom. As for the formation enthalpy at 0 K: 0.271 eV per atom.

The structure belongs to space group Fm-3m (No. 225); the cell edges are 6.337, 6.337 and 6.337 Å and the angles 90.00°, 90.00° and 90.00°. The distinct sites, in fractional coordinates, are In at (0.000, 0.000, 0.000), Tc at (0.250, 0.250, 0.250) and Ge at (0.000, 0.000, 0.500).

[6]
A plane-wave DFT calculation with PBE-GGA was carried out for a relaxed YNi2Au crystal.

For the density of states at the Fermi level, the calculation gives 0.787 states/eV/atom. The magnetization is 0.000 μB/f.u. The total energy is -5.66 eV/atom. As for the formation enthalpy at 0 K: -0.339 eV per atom.

The structure belongs to space group Imm2 (No. 44); the cell edges are 3.901, 3.979 and 8.477 Å and the angles 90.00°, 90.00° and 90.00°. The distinct sites, in fractional coordinates, are Y at (0.000, 0.000, 0.000), Ni at (0.000, 0.000, 0.506), Ni at (0.000, 0.500, 0.247) and Au at (0.000, 0.500, 0.753).